Density functional theory data (PBE) for a relaxed structure of MoPtSe.

Results
E_tot (eV/atom): -6.680
Space-group type: F-43m, No. 216

Structure (CIF):
```
data_MoPtSe
_chemical_formula_sum 'Mo1 Pt1 Se1'
_symmetry_space_group_name_H-M 'P 1'
_symmetry_Int_Tables_number 1
_cell_length_a 4.314
_cell_length_b 4.314
_cell_length_c 4.314
_cell_angle_alpha 60.00
_cell_angle_beta 60.00
_cell_angle_gamma 60.00
loop_
_symmetry_equiv_pos_as_xyz
'x,y,z'
loop_
_atom_site_label
_atom_site_type_symbol
_atom_site_fract_x
_atom_site_fract_y
_atom_site_fract_z
_atom_site_occupancy
Mo1 Mo 0.000 0.000 0.000 1
Pt1 Pt 0.250 0.250 0.250 1
Se1 Se 0.750 0.750 0.750 1
```


Density functional theory data (PBE) for a relaxed structure of CrPRu.

Results
E_tot (eV/atom): -8.187
ΔH_f (0 K) (eV per atom): -0.084
Space-group type: Imm2, No. 44

Structure (CIF):
```
data_CrPRu
_chemical_formula_sum 'Cr1 P1 Ru1'
_symmetry_space_group_name_H-M 'P 1'
_symmetry_Int_Tables_number 1
_cell_length_a 4.286
_cell_length_b 4.286
_cell_length_c 4.286
_cell_angle_alpha 142.21
_cell_angle_beta 127.47
_cell_angle_gamma 66.51
loop_
_symmetry_equiv_pos_as_xyz
'x,y,z'
loop_
_atom_site_label
_atom_site_type_symbol
_atom_site_fract_x
_atom_site_fract_y
_atom_site_fract_z
_atom_site_occupancy
Cr1 Cr 0.000 0.000 0.000 1
P1 P 0.673 0.673 0.000 1
Ru1 Ru 0.342 0.342 0.000 1
```


Density functional theory data (PBE) for a relaxed structure of Te3PPb.

Results
E_tot (eV/atom): -2.579
Space-group type: Pm-3m, No. 221

Structure (CIF):
```
data_Te3PPb
_chemical_formula_sum 'Te3 P1 Pb1'
_symmetry_space_group_name_H-M 'P 1'
_symmetry_Int_Tables_number 1
_cell_length_a 5.902
_cell_length_b 5.902
_cell_length_c 5.902
_cell_angle_alpha 90.00
_cell_angle_beta 90.00
_cell_angle_gamma 90.00
loop_
_symmetry_equiv_pos_as_xyz
'x,y,z'
loop_
_atom_site_label
_atom_site_type_symbol
_atom_site_fract_x
_atom_site_fract_y
_atom_site_fract_z
_atom_site_occupancy
Te1 Te 0.000 0.000 0.500 1
Te2 Te 0.000 0.500 0.000 1
Te3 Te 0.500 0.000 0.000 1
P1 P 0.500 0.500 0.500 1
Pb1 Pb 0.000 0.000 0.000 1
```


Density functional theory data (PBE) for a relaxed structure of Sr2LiW.

Results
E_tot (eV/atom): -3.581
ΔH_f (0 K) (eV per atom): 0.976
Space-group type: Pm, No. 6

Structure (CIF):
```
data_Sr2LiW
_chemical_formula_sum 'Sr2 Li1 W1'
_symmetry_space_group_name_H-M 'P 1'
_symmetry_Int_Tables_number 1
_cell_length_a 3.215
_cell_length_b 5.548
_cell_length_c 6.089
_cell_angle_alpha 90.00
_cell_angle_beta 90.08
_cell_angle_gamma 90.00
loop_
_symmetry_equiv_pos_as_xyz
'x,y,z'
loop_
_atom_site_label
_atom_site_type_symbol
_atom_site_fract_x
_atom_site_fract_y
_atom_site_fract_z
_atom_site_occupancy
Sr1 Sr 0.000 0.000 0.000 1
Sr2 Sr 0.003 0.500 0.623 1
Li1 Li 0.500 0.000 0.434 1
W1 W 0.502 0.500 0.145 1
```


| no. | D(E_F) (states/eV/f.u.) |
| --- | --- |
| 1 | 3.07 |
| 2 | 2.47 |
| 3 | 7.10 |
| 4 | 4.66 |